Ta2TlCo after structural relaxation. Source: Alexandria, functional PBE.

Properties
* calculated volume: 149.1 Å³/cell
* total magnetic moment: 0.00 μB/f.u.
* space group: I-42d, No. 122
* energy: -30.88 eV per formula unit
* ΔE to the lowest computed polymorph: 0.350 eV/atom
* calculated formation energy: 0.575 eV per atom

a b c (Å): 7.3657 7.3657 5.8890
angles (deg): 51.29 51.29 90.00
Closest atoms and distances in Å follow each position.
Atoms (fractional coordinates):
Tl (0.0000, 0.0000, 0.0000)  2 Co 2.75, 4 Ta 3.02
Tl (0.7500, 0.2500, 0.5000)  2 Co 2.75, 4 Ta 3.02
Co (0.2500, 0.7500, 0.5000)  4 Ta 2.41
Co (0.5000, 0.5000, 0.0000)  4 Ta 2.41
Ta (0.8750, 0.8144, 0.7500)  2 Co 2.41
Ta (0.1856, 0.6250, 0.2500)  2 Co 2.41
Ta (0.5644, 0.1250, 0.2500)  2 Co 2.41
Ta (0.3750, 0.4356, 0.7500)  2 Co 2.41